VASP calculation (PBE) on a geometry-optimized Nb2SiP structure.

Cell and atoms, written as POSCAR:
```
Nb2SiP
1.0
5.672 0.000 0.000
0.000 5.672 0.000
2.836 2.836 5.683
P Nb Si
2 4 2
direct
0.750 0.250 0.500 P
0.000 0.000 0.000 P
0.115 0.625 0.250 Nb
0.375 0.365 0.750 Nb
0.875 0.885 0.750 Nb
0.635 0.125 0.250 Nb
0.500 0.500 0.000 Si
0.250 0.750 0.500 Si
```

Results
* E_form (uncorrected): 1.5 eV/f.u.
* volume: 22.85 A^3/atom
* crystal system: tetragonal
* density of states at the Fermi level: 8.43 states/eV/cell

***

VASP calculation (PBE) on a geometry-optimized In2S2F structure.

Cell and atoms, written as POSCAR:
```
In2S2F
1.0
4.368 0.000 0.000
0.000 4.368 0.000
2.184 2.184 5.724
In F S
2 1 2
direct
0.383 0.383 0.234 In
0.617 0.617 0.766 In
0.000 0.000 0.000 F
0.250 0.750 0.500 S
0.750 0.250 0.500 S
```

Results
* E_form (uncorrected): -2.7 eV/f.u.
* volume: 21.85 A^3/atom
* crystal system: tetragonal
* density of states at the Fermi level: 2.48 states/eV/cell

***

VASP calculation (PBE) on a geometry-optimized BaCu3Si structure.

Cell and atoms, written as POSCAR:
```
BaCu3Si
1.0
5.405 0.000 0.000
0.000 5.405 0.000
0.000 0.000 5.405
Si Cu Ba
1 3 1
direct
0.500 0.500 0.500 Si
0.500 0.000 0.000 Cu
0.000 0.000 0.500 Cu
0.000 0.500 0.000 Cu
0.000 0.000 0.000 Ba
```

Results
* E_form (uncorrected): 8.7 eV/f.u.
* volume: 31.58 A^3/atom
* crystal system: cubic
* density of states at the Fermi level: 3.90 states/eV/cell

***

VASP calculation (PBE) on a geometry-optimized SmMnV2 structure.

Cell and atoms, written as POSCAR:
```
SmMnV2
1.0
3.848 0.000 0.000
1.924 3.332 0.000
1.924 1.111 5.804
Sm V Mn
1 2 1
direct
0.000 0.000 0.000 Sm
0.791 0.791 0.626 V
0.209 0.209 0.374 V
0.500 0.500 0.500 Mn
```

Results
* volume: 18.60 A^3/atom
* crystal system: trigonal
* density of states at the Fermi level: 2.75 states/eV/cell
* E_form: 6.64 kcal/mol of atoms

***

VASP calculation (PBE) on a geometry-optimized Dy6YSc3 structure.

Cell and atoms, written as POSCAR:
```
Dy6YSc3
1.0
6.218 0.000 0.000
0.000 10.906 -2.698
0.000 -5.063 10.029
Dy Sc Y
12 6 2
direct
0.582 0.623 0.736 Dy
0.082 0.736 0.623 Dy
0.325 0.105 0.542 Dy
0.325 0.458 0.895 Dy
0.788 0.014 0.986 Dy
0.082 0.377 0.264 Dy
0.825 0.542 0.105 Dy
0.294 0.697 0.303 Dy
0.288 0.986 0.014 Dy
0.582 0.264 0.377 Dy
0.794 0.303 0.697 Dy
0.825 0.895 0.458 Dy
0.987 0.042 0.294 Sc
0.987 0.706 0.958 Sc
0.487 0.958 0.706 Sc
0.604 0.583 0.417 Sc
0.487 0.294 0.042 Sc
0.104 0.417 0.583 Sc
0.012 0.158 0.842 Y
0.512 0.842 0.158 Y
```

Results
* volume: 29.76 A^3/atom
* crystal system: orthorhombic
* density of states at the Fermi level: 30.43 states/eV/cell
* E_form: 2.99 kcal/mol of atoms

***

VASP calculation (PBE) on a geometry-optimized Ba2TlCuP structure.

Cell and atoms, written as POSCAR:
```
Ba2TlCuP
1.0
6.585 0.000 0.000
0.000 5.008 0.000
0.000 0.000 6.585
P Tl Ba Cu
1 1 2 1
direct
0.000 0.500 0.000 P
0.000 0.000 0.000 Tl
0.500 0.000 0.000 Ba
0.000 0.000 0.500 Ba
0.500 0.500 0.500 Cu
```

Results
* volume: 43.43 A^3/atom
* crystal system: tetragonal
* density of states at the Fermi level: 4.64 states/eV/cell
* E_form: 7.55 kcal/mol of atoms

***

VASP calculation (PBE) on a geometry-optimized SbIrI2Cl structure.

Cell and atoms, written as POSCAR:
```
SbIrI2Cl
1.0
-3.190 -3.107 -3.071
-0.580 -3.468 4.111
-4.420 2.811 1.747
I Cl Sb Ir
2 1 1 1
direct
0.000 0.500 0.000 I
0.500 0.000 0.000 I
0.000 0.000 0.000 Cl
0.000 0.000 0.500 Sb
0.500 0.500 0.500 Ir
```

Results
* E_form (uncorrected): 8.0 eV/f.u.
* volume: 32.32 A^3/atom
* crystal system: tetragonal
* density of states at the Fermi level: 6.67 states/eV/cell

***

VASP calculation (PBE) on a geometry-optimized YAuSe2 structure.

Cell and atoms, written as POSCAR:
```
YAuSe2
1.0
-1.501 -4.917 6.361
1.108 -7.163 3.788
2.738 -4.212 6.454
Y Au Se
1 1 2
direct
0.500 0.500 0.500 Y
0.000 0.000 0.000 Au
0.896 0.896 0.896 Se
0.104 0.104 0.104 Se
```

Results
* E_form (uncorrected): -4.6 eV/f.u.
* volume: 31.17 A^3/atom
* crystal system: trigonal
* density of states at the Fermi level: 0.00 states/eV/cell